Below is an optimized crystal structure of KCr2In, with properties calculated at the PBE level.

Cell and atoms, written as CIF:
```
data_KCr2In
_space_group_name_H-M_alt 'R -3 m'
_space_group_IT_number 166
_space_group_name_Hall '-R 3 2"'
_cell_length_a 3.3362
_cell_length_b 3.3362
_cell_length_c 32.0050
_cell_angle_alpha 90.00
_cell_angle_beta 90.00
_cell_angle_gamma 120.00
loop_
_atom_site_label
_atom_site_type_symbol
_atom_site_fract_x
_atom_site_fract_y
_atom_site_fract_z
_atom_site_occupancy
K1 K 0.0000 0.0000 0.0000 1
Cr1 Cr 0.0000 0.0000 0.2356 1
In1 In 0.0000 0.0000 0.5000 1
```

Total magnetic moment (Bohr magnetons per cell): 26.60
Energy of formation from the pure elements (kcal/mol of atoms): 22.02
Density (g/cm³): 4.165
E_tot (eV/atom): -4.816